1.
Pm2SbIr | PBE | optimized geometry

```
Pm2SbIr
1.0
3.608 0.000 0.000
0.000 3.608 0.000
0.000 0.000 7.803
Pm Sb Ir
2 1 1
Cartesian
0.000 0.000 1.699 Pm
0.000 0.000 6.104 Pm
1.804 1.804 3.902 Sb
1.804 1.804 0.000 Ir
```

Its density of states at the Fermi level is 1.28 states/eV per cell. The magnetic moment is 0.0 μB per formula unit. The space group is P4/mmm. The calculated total energy is -6.35 eV/atom. As for the excess energy over the best structure of this formula in the dataset: 0.000 eV/atom. The value obtained for the formation energy from raw total energies is -0.732 eV/atom.

2.
FeAsC | PBE | optimized geometry

```
FeAsC
1.0
2.883 0.000 0.000
0.011 4.975 0.000
1.153 1.543 6.798
Fe As C
2 2 2
Cartesian
0.000 0.000 0.000 Fe
1.162 4.165 6.465 Fe
1.152 2.613 4.745 As
1.445 0.775 2.127 As
2.604 5.323 6.591 C
2.886 1.606 1.175 C
```

Its density of states at the Fermi level is 4.20 states/eV per cell. The magnetic moment is 0.0 μB per formula unit. The space group is P1. The formation energy comes out at 11.75 kcal/mol of atoms. The calculated total energy is -6.94 eV/atom. As for the excess energy over the best structure of this formula in the dataset: 0.071 eV/atom.

3.
Na2Sn2Pb | PBE | optimized geometry

```
Na2Sn2Pb
1.0
4.670 0.000 0.000
0.000 4.670 0.000
0.000 0.000 14.025
Na Sn Pb
4 4 2
Cartesian
0.000 2.335 3.506 Na
0.000 2.335 10.519 Na
2.335 0.000 3.506 Na
2.335 0.000 10.519 Na
0.000 0.000 1.361 Sn
0.000 0.000 12.664 Sn
2.335 2.335 5.652 Sn
2.335 2.335 8.373 Sn
0.000 0.000 7.012 Pb
2.335 2.335 0.000 Pb
```

Its density of states at the Fermi level is 6.48 states/eV per cell. The magnetic moment is 0.0 μB per formula unit. The space group is I4/mmm. The formation energy comes out at -0.54 kcal/mol of atoms. The calculated total energy is -2.89 eV/atom. As for the excess energy over the best structure of this formula in the dataset: 0.101 eV/atom.

4.
Cd12Sb6P | PBE | optimized geometry

```
Cd12Sb6P
1.0
6.380 3.684 4.027
-6.380 3.684 4.027
0.000 -7.367 4.027
Cd Sb P
12 6 1
Cartesian
-1.846 -5.414 5.147 Cd
-5.612 -1.109 6.934 Cd
-2.378 -0.368 4.831 Cd
-3.766 4.305 5.147 Cd
-0.870 -2.243 7.250 Cd
1.508 -1.875 4.831 Cd
-1.508 1.875 7.250 Cd
0.870 2.243 4.831 Cd
3.766 -4.305 6.934 Cd
2.378 0.368 7.250 Cd
5.612 1.109 5.147 Cd
1.846 5.414 6.934 Cd
-3.538 -2.972 6.086 Sb
-4.343 1.579 5.995 Sb
0.804 -4.550 5.995 Sb
-0.804 4.550 6.086 Sb
4.343 -1.579 6.086 Sb
3.538 2.972 5.995 Sb
0.000 0.000 6.041 P
```

Its density of states at the Fermi level is 3.60 states/eV per cell. The magnetic moment is 0.0 μB per formula unit. The space group is R-3. The calculated total energy is -2.14 eV/atom. The value obtained for the formation energy from raw total energies is 0.023 eV/atom.

5.
MgSn2Os2 | PBE | optimized geometry

```
MgSn2Os2
1.0
7.602 0.000 0.000
0.000 7.602 0.000
0.000 0.000 3.205
Mg Sn Os
2 4 4
Cartesian
0.000 0.000 0.000 Mg
3.801 3.801 0.000 Mg
1.186 2.616 1.603 Sn
2.616 6.417 1.603 Sn
4.987 1.186 1.603 Sn
6.417 4.987 1.603 Sn
1.080 4.881 0.000 Os
2.721 1.080 0.000 Os
4.881 6.522 0.000 Os
6.522 2.721 0.000 Os
```

Its density of states at the Fermi level is 3.79 states/eV per cell. The magnetic moment is 0.0 μB per formula unit. The space group is P4/mbm. The formation energy comes out at 5.08 kcal/mol of atoms. The calculated total energy is -6.19 eV/atom.

6.
PuAl4 | PBE | optimized geometry

```
PuAl4
1.0
-2.207 3.091 6.905
2.207 -3.091 6.905
2.207 3.091 -6.905
Pu Al
2 8
Cartesian
0.000 1.546 1.525 Pu
2.207 1.546 5.379 Pu
2.207 0.000 0.000 Al
2.207 -1.546 5.346 Al
2.207 -0.134 2.744 Al
2.207 2.958 -2.744 Al
0.000 0.000 6.905 Al
0.000 0.134 9.648 Al
0.000 3.225 4.161 Al
0.000 4.637 1.559 Al
```

Its density of states at the Fermi level is 19.33 states/eV per cell. The magnetic moment is 5.6 μB per formula unit. The space group is Imma. The formation energy comes out at -5.67 kcal/mol of atoms. The calculated total energy is -6.11 eV/atom.

7.
Pm6ErIn5 | PBE | optimized geometry

```
Pm6ErIn5
1.0
-2.520 4.532 7.611
2.520 -4.532 7.611
2.520 4.532 -7.611
Pm Er In
6 1 5
Cartesian
2.520 2.168 -2.597 Pm
0.000 2.118 0.000 Pm
2.520 2.168 2.597 Pm
0.000 2.364 5.015 Pm
0.000 6.946 0.000 Pm
0.000 2.364 10.208 Pm
0.000 0.000 7.611 Er
2.520 0.000 0.000 In
0.000 0.000 2.630 In
2.520 0.000 5.290 In
0.000 4.532 2.321 In
0.000 0.000 12.592 In
```

Its density of states at the Fermi level is 11.73 states/eV per cell. The magnetic moment is 0.0 μB per formula unit. The space group is Immm. The formation energy comes out at -9.15 kcal/mol of atoms. The calculated total energy is -4.29 eV/atom.

8.
Ca2InAs | PBE | optimized geometry

```
Ca2InAs
1.0
3.861 0.000 0.000
0.000 3.861 0.000
0.000 0.000 6.966
Ca In As
2 1 1
Cartesian
0.000 0.000 1.549 Ca
0.000 0.000 5.418 Ca
1.931 1.931 3.483 In
1.931 1.931 0.000 As
```

Its density of states at the Fermi level is 3.03 states/eV per cell. The magnetic moment is 0.0 μB per formula unit. The space group is P4/mmm. The formation energy comes out at -16.62 kcal/mol of atoms. The calculated total energy is -3.57 eV/atom. As for the excess energy over the best structure of this formula in the dataset: 0.000 eV/atom.

9.
BaZn | PBE | optimized geometry

```
BaZn
1.0
4.420 0.000 0.000
-2.210 3.827 0.000
0.000 0.000 9.561
Ba Zn
2 2
Cartesian
0.000 2.552 1.919 Ba
2.210 1.276 7.642 Ba
0.000 2.552 5.280 Zn
2.210 1.276 4.281 Zn
```

Its density of states at the Fermi level is 4.66 states/eV per cell. The magnetic moment is 0.0 μB per formula unit. The space group is P-3m1. The formation energy comes out at 0.64 kcal/mol of atoms. The calculated total energy is -1.57 eV/atom.

10.
Rb2SnTe6Au2 | PBE | optimized geometry

```
Rb2SnTe6Au2
1.0
6.584 -4.357 0.000
6.584 4.357 0.000
-2.769 0.000 7.146
Rb Sn Te Au
2 1 6 2
Cartesian
2.530 0.000 1.869 Rb
7.869 0.000 5.277 Rb
6.584 0.000 0.000 Sn
4.200 1.877 4.697 Te
1.259 0.000 5.652 Te
6.199 1.877 2.448 Te
4.200 -1.877 4.697 Te
9.139 0.000 1.493 Te
6.199 -1.877 2.448 Te
-1.492 0.000 5.115 Au
11.891 0.000 2.031 Au
```

Its density of states at the Fermi level is 3.98 states/eV per cell. The magnetic moment is 0.0 μB per formula unit. The space group is C2/m. The calculated total energy is -3.13 eV/atom. The value obtained for the formation energy from raw total energies is -0.280 eV/atom.

11.
Ce2HfTi | PBE | optimized geometry

```
Ce2HfTi
1.0
3.097 0.000 0.000
0.000 3.097 0.000
0.000 0.000 9.765
Ce Hf Ti
2 1 1
Cartesian
0.000 0.000 2.349 Ce
0.000 0.000 7.416 Ce
1.548 1.548 4.883 Hf
1.548 1.548 0.000 Ti
```

Its density of states at the Fermi level is 8.94 states/eV per cell. The magnetic moment is 0.0 μB per formula unit. The space group is P4/mmm. The formation energy comes out at 4.26 kcal/mol of atoms. The calculated total energy is -7.24 eV/atom. As for the excess energy over the best structure of this formula in the dataset: 0.000 eV/atom.

12.
Sr2LuTl | PBE | optimized geometry

```
Sr2LuTl
1.0
3.831 0.000 0.000
-1.915 3.317 0.000
0.000 0.000 36.913
Sr Lu Tl
6 3 3
Cartesian
0.000 0.000 3.527 Sr
0.000 0.000 33.386 Sr
0.000 2.212 21.081 Sr
0.000 2.212 28.136 Sr
1.915 1.106 8.777 Sr
1.915 1.106 15.832 Sr
0.000 0.000 0.000 Lu
0.000 2.212 24.609 Lu
1.915 1.106 12.304 Lu
0.000 0.000 18.457 Tl
0.000 2.212 6.152 Tl
1.915 1.106 30.761 Tl
```

Its density of states at the Fermi level is 14.04 states/eV per cell. The magnetic moment is 0.2 μB per formula unit. The space group is R-3m. The formation energy comes out at 4.26 kcal/mol of atoms. The calculated total energy is -2.38 eV/atom.

Q: Which of these has the highest calculated total energy?
A: BaZn

Q: The highest calculated total energy belongs to which entry?
A: BaZn

Copy entry 12 word for word.
Sr2LuTl | PBE | optimized geometry

```
Sr2LuTl
1.0
3.831 0.000 0.000
-1.915 3.317 0.000
0.000 0.000 36.913
Sr Lu Tl
6 3 3
Cartesian
0.000 0.000 3.527 Sr
0.000 0.000 33.386 Sr
0.000 2.212 21.081 Sr
0.000 2.212 28.136 Sr
1.915 1.106 8.777 Sr
1.915 1.106 15.832 Sr
0.000 0.000 0.000 Lu
0.000 2.212 24.609 Lu
1.915 1.106 12.304 Lu
0.000 0.000 18.457 Tl
0.000 2.212 6.152 Tl
1.915 1.106 30.761 Tl
```

Its density of states at the Fermi level is 14.04 states/eV per cell. The magnetic moment is 0.2 μB per formula unit. The space group is R-3m. The formation energy comes out at 4.26 kcal/mol of atoms. The calculated total energy is -2.38 eV/atom.